Record 1
Compound: K2CuCl2F2
Source: Alexandria
Functional: PBE
Structure: optimized geometry

Values from the calculation:
E_form (uncorrected) (eV per atom): -1.81
Total DFT energy (no corrections) (eV per cell): -26.42

```
7
Lattice="4.359 0.000 0.000 0.000 4.359 0.000 -2.179 -2.179 7.486" Properties=species:S:1:pos:R:3 pbc="T T T"
K 0.000 0.000 5.650
K 2.179 2.179 1.835
F 0.000 2.179 0.000
F 2.179 0.000 0.000
Cl 2.179 2.179 5.161
Cl 0.000 0.000 2.324
Cu 0.000 0.000 0.000
```

Record 2
Compound: KCuCl2F
Source: Alexandria
Functional: PBE
Structure: optimized geometry

Values from the calculation:
E_form (uncorrected) (eV per atom): -1.40
Total DFT energy (no corrections) (eV per cell): -17.74

```
5
Lattice="4.911 0.000 0.000 0.000 4.911 0.000 0.000 0.000 4.031" Properties=species:S:1:pos:R:3 pbc="T T T"
Cu 0.000 0.000 0.000
Cl 0.000 2.456 0.000
Cl 2.456 0.000 0.000
F 0.000 0.000 2.016
K 2.456 2.456 2.016
```

Record 3
Compound: K3Cu2Cl3F4
Source: Alexandria
Functional: PBE
Structure: optimized geometry

Values from the calculation:
E_form (uncorrected) (eV per atom): -1.73
Total DFT energy (no corrections) (eV per cell): -45.27

```
12
Lattice="4.142 0.000 0.000 0.000 4.731 0.000 -2.071 -2.365 11.639" Properties=species:S:1:pos:R:3 pbc="T T T"
K 0.008 0.000 7.113
K 2.078 2.365 4.527
K 2.079 2.365 0.000
Cl -2.061 2.365 11.639
Cl 2.080 0.000 9.292
Cl 0.008 2.365 2.348
Cu 2.084 2.365 9.150
Cu 0.010 0.000 2.490
F 2.083 2.365 7.102
F 2.080 0.000 2.499
F 0.012 2.365 9.140
F 0.010 0.000 4.538
```

Record 4
Compound: K2CuCl2F2
Source: Alexandria
Functional: PBE
Structure: optimized geometry

Values from the calculation:
E_form (uncorrected) (eV per atom): -1.75
Total DFT energy (no corrections) (eV per cell): -25.96

```
7
Lattice="-2.512 2.512 6.373 2.512 -2.512 6.373 2.512 2.512 -6.373" Properties=species:S:1:pos:R:3 pbc="T T T"
Cl 2.512 0.000 0.000
Cl 0.000 2.512 0.000
F 0.000 0.000 10.820
F 0.000 0.000 1.925
Cu 0.000 0.000 0.000
K 0.000 0.000 8.305
K 0.000 0.000 4.440
```

Record 5
Compound: KCuClF2
Source: Alexandria
Functional: PBE
Structure: optimized geometry

Values from the calculation:
E_form (uncorrected) (eV per atom): -0.53
Total DFT energy (no corrections) (eV per cell): -13.44

```
5
Lattice="-1.101 4.175 -0.786 -2.116 0.778 7.096 4.061 1.272 1.072" Properties=species:S:1:pos:R:3 pbc="T T T"
F 2.030 0.636 0.536
F -0.550 2.087 -0.393
Cu -1.058 0.389 3.548
K 0.000 0.000 0.000
Cl 0.422 3.112 3.691
```

Record 6
Compound: K2CuCl2F2
Source: Alexandria
Functional: PBE
Structure: optimized geometry

Values from the calculation:
E_form (uncorrected) (eV per atom): -1.84
Total DFT energy (no corrections) (eV per cell): -53.18

```
14
Lattice="8.081 0.004 0.000 -5.612 5.814 0.000 0.000 0.000 6.323" Properties=species:S:1:pos:R:3 pbc="T T T"
Cl -3.469 4.904 0.000
Cl 3.377 1.999 3.161
Cl 5.937 0.913 0.000
Cl -0.909 3.818 3.161
K 6.402 0.716 3.161
K 2.913 2.196 0.000
K -3.933 5.101 3.161
K -0.445 3.621 0.000
F 1.936 4.562 4.959
F 1.767 4.164 1.798
F 0.532 1.255 1.364
F 0.702 1.654 4.525
Cu 0.000 0.000 0.000
Cu 1.234 2.909 3.161
```

Record 7
Compound: KCu2ClF2
Source: Alexandria
Functional: PBE
Structure: optimized geometry

Values from the calculation:
E_form (uncorrected) (eV per atom): -1.33
Total DFT energy (no corrections) (eV per cell): -45.74

```
12
Lattice="-3.954 1.578 -2.508 -3.540 -2.618 3.934 1.525 7.526 2.331" Properties=species:S:1:pos:R:3 pbc="T T T"
Cu -2.069 3.852 5.663
Cu -1.941 1.852 -0.663
Cu -4.028 4.634 4.420
Cu -3.900 2.634 -1.906
F -2.167 4.000 3.499
F -5.116 3.591 3.025
F -3.802 2.486 0.258
F -0.853 2.894 0.732
Cl -0.516 6.882 2.710
Cl -5.453 -0.396 1.047
K -3.264 4.919 0.940
K -2.705 1.567 2.817
```

Record 8
Compound: K3Cu2Cl2F5
Source: Alexandria
Functional: PBE
Structure: optimized geometry

Values from the calculation:
E_form (uncorrected) (eV per atom): -1.92
Total DFT energy (no corrections) (eV per cell): -47.62

```
12
Lattice="4.249 0.000 0.000 0.000 4.249 0.000 -2.124 -2.124 11.480" Properties=species:S:1:pos:R:3 pbc="T T T"
K 0.000 0.000 3.799
K 0.000 0.000 0.000
K 2.124 2.124 7.681
F 0.000 2.124 1.947
F 2.124 0.000 9.533
F 2.124 2.124 0.000
F 0.000 2.124 9.533
F 2.124 0.000 1.947
Cl 2.124 2.124 4.338
Cl 0.000 0.000 7.143
Cu 2.124 2.124 1.996
Cu 0.000 0.000 9.484
```

Record 9
Compound: K2CuClF3
Source: Alexandria
Functional: PBE
Structure: optimized geometry

Values from the calculation:
E_form (uncorrected) (eV per atom): -1.97
Total DFT energy (no corrections) (eV per cell): -27.54

```
7
Lattice="-1.877 2.256 -3.659 -2.699 -3.243 -0.615 -2.130 3.401 6.195" Properties=species:S:1:pos:R:3 pbc="T T T"
K -3.046 2.004 2.798
K -3.660 0.409 -0.877
F -1.349 -1.622 -0.307
F -5.368 1.533 0.692
F -1.338 0.880 1.229
Cl -0.939 1.128 -1.830
Cu 0.000 0.000 0.000
```

Record 10
Compound: LiCuCl2F
Source: Alexandria
Functional: PBE
Structure: optimized geometry

Values from the calculation:
E_form (uncorrected) (eV per atom): -1.19
Total DFT energy (no corrections) (eV per cell): -17.54

```
5
Lattice="-3.678 1.284 -2.789 0.864 -3.744 -2.863 -2.378 -2.180 2.133" Properties=species:S:1:pos:R:3 pbc="T T T"
Cu 0.000 0.000 0.000
Li -2.596 -2.320 -1.759
F -1.189 -1.090 1.066
Cl -1.839 0.642 -1.395
Cl 0.432 -1.872 -1.431
```

Record 11
Compound: LiCuClF2
Source: Alexandria
Functional: PBE
Structure: optimized geometry

Values from the calculation:
E_form (uncorrected) (eV per atom): -1.56
Total DFT energy (no corrections) (eV per cell): -19.41

```
5
Lattice="-3.416 -1.575 -0.846 -0.043 -2.332 4.514 -1.788 3.042 1.555" Properties=species:S:1:pos:R:3 pbc="T T T"
F -0.894 1.521 0.777
F -1.708 -0.787 -0.423
Cl -0.021 -1.166 2.257
Cu 0.000 0.000 0.000
Li -2.623 -0.433 2.611
```

Record 12
Compound: CuNClF2
Source: Alexandria
Functional: PBE
Structure: optimized geometry

Values from the calculation:
E_form (uncorrected) (eV per atom): 0.26
Total DFT energy (no corrections) (eV per cell): -16.70

```
5
Lattice="-2.316 -1.889 2.138 1.693 -3.126 -0.929 2.877 0.500 3.559" Properties=species:S:1:pos:R:3 pbc="T T T"
Cl 1.127 -2.258 2.384
F -1.158 -0.945 1.069
F 0.847 -1.563 -0.465
N 1.438 0.250 1.779
Cu 0.000 0.000 0.000
```